[1]
The following is a DFT calculation (GGA-PBE) of a relaxed HfScS2N crystal.

Computed properties:
- offset from the most stable computed form (meV per atom) = 1392
- raw formation energy (meV/atom) = -257
- size of the total moment (μB/cell) = 0.004
- Fermi-level density of states (states/eV per cell) = 2.46

a = 4.8329 Å, b = 4.8329 Å, c = 3.8861 Å
α = 90.00°, β = 90.00°, γ = 90.00°
Closest atoms and distances in Å follow each position.
Positions (direct):
S1 0.0000 0.5000 0.0000  2 Sc 2.42
S2 0.5000 0.0000 0.0000  2 Sc 2.42
Hf1 0.5000 0.5000 0.5000  8 S 3.10, 4 N 3.42
Sc1 0.0000 0.0000 0.0000  2 N 1.94
N1 0.0000 0.0000 0.5000  2 Sc 1.94


[2]
The following is a DFT calculation (GGA-PBE) of a relaxed Mg2CoPd2 crystal.

Computed properties:
- offset from the most stable computed form (meV per atom) = 0
- formation energy (meV/atom) = -253
- size of the total moment (μB/cell) = 3.234
- Fermi-level density of states (states/eV per cell) = 12.80

a = 6.5305 Å, b = 6.5305 Å, c = 3.9241 Å
α = 90.00°, β = 90.00°, γ = 90.00°
Closest atoms and distances in Å follow each position.
Positions (direct):
Co1 0.5000 0.5000 0.0000  4 Pd 2.51
Co2 0.0000 0.0000 0.0000  4 Pd 2.51
Pd1 0.3576 0.8576 0.0000  2 Co 2.51, 1 Pd 2.63, 2 Mg 2.64
Pd2 0.1424 0.3576 0.0000  2 Co 2.51, 1 Pd 2.63, 2 Mg 2.64
Pd3 0.8576 0.6424 0.0000  2 Co 2.51, 1 Pd 2.63, 2 Mg 2.64
Pd4 0.6424 0.1424 0.0000  2 Co 2.51, 1 Pd 2.63, 2 Mg 2.64
Mg1 0.8333 0.3333 0.5000  6 Pd 2.64-2.82
Mg2 0.6667 0.8333 0.5000  6 Pd 2.64-2.82
Mg3 0.1667 0.6667 0.5000  6 Pd 2.64-2.82
Mg4 0.3333 0.1667 0.5000  6 Pd 2.64-2.82


no.,volume (A^3/atom)
1,18.2
2,16.7